BaCaTc2Mo GGA-PBE optimized geometry; calculated volume = 26.0 A^3/atom; magnetic moment = 1.41 μB/f.u.; ΔH_f (0 K) = 0.979 eV per atom
1.0
4.864 0.000 0.000
0.000 5.496 0.000
0.000 0.000 4.864
Mo Ca Ba Tc
1 1 1 2
Cartesian
0.000 0.000 0.000
0.000 2.748 0.000
2.432 2.748 2.432
0.000 0.000 2.432
2.432 0.000 0.000

***

Pu2Tl3Te6Pb GGA-PBE optimized geometry; calculated volume = 36.0 A^3/atom; magnetic moment = 9.03 μB/f.u.; raw formation energy = -0.639 eV per atom
1.0
-0.840 -5.636 -5.429
5.778 5.296 -0.717
3.282 -4.676 6.239
Pu Tl Te Pb
2 3 6 1
Cartesian
3.580 1.664 -2.282
1.359 -2.005 -3.864
6.348 1.188 1.640
1.872 -6.205 -1.547
4.110 -2.508 0.047
5.107 -5.826 -0.572
4.249 -1.242 -3.088
3.113 0.809 0.666
7.432 -1.986 1.083
3.971 -3.775 3.181
0.788 -3.031 -0.990
0.000 0.000 0.000